(1)
Computed, not measured: an optimized crystal structure of MgCdFe2 at the PBE level of DFT.

Lattice parameters (Å, degrees): 4.435 4.435 4.435 60.00 60.00 60.00
Each line ends with the local moment (μB).
Positions (direct):
Mg (0.750, 0.750, 0.750)  -0.03
Cd (0.500, 0.500, 0.500)  -0.05
Fe (0.250, 0.250, 0.250)  2.52
Fe (0.000, 0.000, 0.000)  2.48

DFT formation energy	1.13	eV per formula unit
theoretical density	6.69	g/cm³
D(E_F)	0.633	states/eV per atom

---

(2)
Computed, not measured: an optimized crystal structure of Mg2CdFe at the PBE level of DFT.

Lattice parameters (Å, degrees): 2.975 2.975 8.448 90.00 90.00 88.78
Each line ends with the local moment (μB).
Positions (direct):
Mg (0.000, 0.000, 0.964)  -0.03
Mg (0.500, 0.500, 0.256)  0.00
Fe (0.500, 0.500, 0.752)  2.58
Cd (0.000, 0.000, 0.528)  -0.03

DFT formation energy	0.68	eV per formula unit
theoretical density	4.82	g/cm³
D(E_F)	0.505	states/eV per atom

---

(3)
Computed, not measured: an optimized crystal structure of Mg2CdFe at the PBE level of DFT.

Lattice parameters (Å, degrees): 5.711 5.711 5.711 148.22 130.77 59.79
Each line ends with the local moment (μB).
Positions (direct):
Mg (0.973, 0.973, 0.000)  -0.02
Mg (0.255, 0.755, 0.500)  -0.03
Cd (0.523, 0.523, 0.000)  -0.03
Fe (0.749, 0.249, 0.500)  2.46

DFT formation energy	0.70	eV per formula unit
theoretical density	4.89	g/cm³
D(E_F)	0.757	states/eV per atom

---

(4)
Computed, not measured: an optimized crystal structure of Mg2CdFe at the PBE level of DFT.

Lattice parameters (Å, degrees): 5.596 5.596 5.596 147.54 128.53 62.18
Each line ends with the local moment (μB).
Positions (direct):
Mg (0.981, 0.981, 0.000)  -0.01
Mg (0.519, 0.519, 0.000)  -0.01
Cd (0.250, 0.750, 0.500)  -0.05
Fe (0.750, 0.250, 0.500)  2.48

DFT formation energy	0.84	eV per formula unit
theoretical density	4.94	g/cm³
D(E_F)	0.750	states/eV per atom

---

(5)
Computed, not measured: an optimized crystal structure of Mg2Cd2Fe at the PBE level of DFT.

Lattice parameters (Å, degrees): 6.977 6.977 4.303 90.00 90.00 90.00
Each line ends with the local moment (μB).
Positions (direct):
Fe (0.500, 0.500, 0.000)  2.79
Fe (0.000, 0.000, 0.000)  2.81
Cd (0.357, 0.857, 0.000)  -0.02
Cd (0.857, 0.643, 0.000)  -0.01
Cd (0.643, 0.143, 0.000)  -0.01
Cd (0.143, 0.357, 0.000)  -0.01
Mg (0.170, 0.670, 0.500)  -0.01
Mg (0.830, 0.330, 0.500)  -0.01
Mg (0.330, 0.170, 0.500)  -0.01
Mg (0.670, 0.830, 0.500)  -0.01

DFT formation energy	1.54	eV per formula unit
theoretical density	5.22	g/cm³
D(E_F)	1.033	states/eV per atom

---

(6)
Computed, not measured: an optimized crystal structure of MgCdFe2 at the PBE level of DFT.

Lattice parameters (Å, degrees): 6.098 4.946 2.756 89.95 63.21 119.40
Each line ends with the local moment (μB).
Positions (direct):
Fe (0.000, 0.000, 0.000)  2.51
Fe (0.500, 0.000, 0.500)  2.51
Mg (0.000, 0.500, 0.500)  -0.04
Cd (0.500, 0.500, 0.000)  -0.06

DFT formation energy	1.20	eV per formula unit
theoretical density	6.66	g/cm³
D(E_F)	0.746	states/eV per atom

---

(7)
Computed, not measured: an optimized crystal structure of MgCdFe2 at the PBE level of DFT.

Lattice parameters (Å, degrees): 4.059 2.779 5.779 73.98 90.00 90.00
Each line ends with the local moment (μB).
Positions (direct):
Fe (0.500, 0.198, 0.230)  2.39
Fe (0.000, 0.059, 0.031)  2.46
Mg (0.000, 0.476, 0.470)  -0.03
Cd (0.500, 0.767, 0.768)  -0.05

DFT formation energy	0.93	eV per formula unit
theoretical density	6.58	g/cm³
D(E_F)	0.519	states/eV per atom

---

(8)
Computed, not measured: an optimized crystal structure of MgCd4Fe at the PBE level of DFT.

Lattice parameters (Å, degrees): 5.637 5.637 5.637 60.00 60.00 60.00
Each line ends with the local moment (μB).
Positions (direct):
Cd (0.375, 0.874, 0.375)  -0.02
Cd (0.375, 0.375, 0.375)  -0.02
Cd (0.375, 0.375, 0.874)  -0.02
Cd (0.874, 0.375, 0.375)  -0.02
Mg (0.000, 0.000, 0.000)  0.00
Fe (0.750, 0.750, 0.750)  2.96

DFT formation energy	2.12	eV per formula unit
theoretical density	6.95	g/cm³
D(E_F)	0.893	states/eV per atom

---

| no. | size of the total moment (μB per formula unit) |
| --- | --- |
| 1 | 4.81 |
| 2 | 2.44 |
| 3 | 2.20 |
| 4 | 2.27 |
| 5 | 2.73 |
| 6 | 4.75 |
| 7 | 4.64 |
| 8 | 2.92 |